An optimized crystal structure of HfTi3Co, computed with GGA-PBE.

a = 4.517 Å, b = 4.517 Å, c = 4.517 Å
α = 90.00°, β = 90.00°, γ = 90.00°
Element x y z (fractional)
Co 0.000 0.000 0.000
Hf 0.500 0.500 0.500
Ti 0.000 0.500 0.000
Ti 0.000 0.000 0.500
Ti 0.500 0.000 0.000

Properties
space group	No. 221
calculated formation energy	20.6	kJ per mole of atoms
ΔE to the lowest computed polymorph	350.4	meV/atom
DOS at the Fermi energy	1.208	states/eV per atom
total moment	0.00	μB per formula unit